1.
Entry from Alexandria: In2TeRu after structural relaxation (GGA-PBEsol).

CIF file:
```
data_In2TeRu
_space_group_name_H-M_alt 'C 1 2/m 1'
_space_group_IT_number 12
_cell_length_a 5.7231
_cell_length_b 10.3138
_cell_length_c 3.4900
_cell_angle_alpha 90.00
_cell_angle_beta 125.53
_cell_angle_gamma 90.00
loop_
_space_group_symop_operation_xyz
'x,y,z'
'-x,-y,-z'
'-x,y,-z'
'x,-y,z'
'x+1/2,y+1/2,z'
'-x+1/2,-y+1/2,-z'
'-x+1/2,y+1/2,-z'
'x+1/2,-y+1/2,z'
loop_
_atom_site_label
_atom_site_type_symbol
_atom_site_fract_x
_atom_site_fract_y
_atom_site_fract_z
In1 In 0.2500 0.2500 0.0000
Te1 Te 0.0000 0.0000 0.5000
Ru1 Ru 0.0000 0.5000 0.5000
```

total energy	-4.53	eV per atom
ρ	9079	kg/m3
formation energy from raw total energies	0.389	eV/atom
Fermi-level density of states	5.8	states/eV per cell

***

2.
Entry from Alexandria: InTe2Ru after structural relaxation (GGA-PBEsol).

CIF file:
```
data_InTe2Ru
_space_group_name_H-M_alt 'F -4 3 m'
_space_group_IT_number 216
_space_group_name_Hall 'F -4 2 3'
_cell_length_a 7.0026
_cell_length_b 7.0026
_cell_length_c 7.0026
_cell_angle_alpha 90.00
_cell_angle_beta 90.00
_cell_angle_gamma 90.00
loop_
_atom_site_label
_atom_site_type_symbol
_atom_site_fract_x
_atom_site_fract_y
_atom_site_fract_z
In1 In 0.0000 0.0000 0.0000
Te1 Te 0.0000 0.0000 0.5000
Te2 Te 0.2500 0.2500 0.2500
Ru1 Ru 0.2500 0.2500 0.7500
```

total energy	-4.43	eV per atom
ρ	9113	kg/m3
formation energy from raw total energies	0.622	eV/atom
Fermi-level density of states	12.2	states/eV per cell